Tb4Pm2Nd2Dy: optimized geometry, PBE.

a = 3.637 Å, b = 9.613 Å, c = 9.675 Å
α = 115.22°, β = 90.00°, γ = 100.91°
Sites, in units of the cell vectors:
1 Tb 0.815 0.630 0.665
2 Tb 0.185 0.370 0.335
3 Tb 0.519 0.038 0.332
4 Tb 0.481 0.962 0.668
5 Pm 0.853 0.706 0.336
6 Pm 0.147 0.294 0.664
7 Nd 0.335 0.669 0.999
8 Nd 0.665 0.331 0.001
9 Dy 0.000 0.000 0.000

Properties
space group: C2/m, No. 12
V: 299.24 Å³ per cell
DFT formation energy: 4 kJ/mol of formula units